1.
Material: DySi2Tc2
Method: DFT, GGA-PBE
State: optimized geometry

Lattice parameters (Å, degrees): 5.8837 5.8837 5.8837 139.34 139.34 58.86
Last column: nearest neighbours and their distance in Å.
Fractional coordinates of all 5 atoms:
Dy1 0.0000 0.0000 0.0000  8 Si 3.14, 8 Tc 3.28
Si1 0.3799 0.3799 0.0000  4 Tc 2.44, 1 Si 2.46
Si2 0.6201 0.6201 0.0000  4 Tc 2.44, 1 Si 2.46
Tc1 0.7500 0.2500 0.5000  4 Si 2.44
Tc2 0.2500 0.7500 0.5000  4 Si 2.44

Energy above the most stable polymorph in this dataset in eV per atom: 0.0000


2.
Material: ZrNiBW
Method: DFT, GGA-PBE
State: optimized geometry

Lattice parameters (Å, degrees): 4.2625 4.2625 4.2625 60.00 60.00 60.00
Last column: nearest neighbours and their distance in Å.
Fractional coordinates of all 4 atoms:
B1 0.0000 0.0000 0.0000  4 Zr 2.61, 4 W 2.61
Ni1 0.5000 0.5000 0.5000  4 Zr 2.61, 4 W 2.61
W1 0.2500 0.2500 0.2500  4 Ni 2.61, 4 B 2.61
Zr1 0.7500 0.7500 0.7500  4 Ni 2.61, 4 B 2.61

DFT total energy in eV/f.u.: -32.86


3.
Material: Np2H2IBr3
Method: DFT, GGA-PBE
State: optimized geometry

Lattice parameters (Å, degrees): 3.9044 3.9044 14.9069 90.00 90.00 120.00
Last column: nearest neighbours and their distance in Å.
Fractional coordinates of all 8 atoms:
Br1 0.6667 0.3333 0.1209  3 H 2.98, 3 Np 2.99
Br2 0.6667 0.3333 0.3832  3 Np 2.98, 3 H 2.99
Br3 0.0000 0.0000 0.6123  3 Np 2.98, 3 H 3.01
H1 0.0000 0.0000 0.2516  3 Np 2.25
H2 0.6667 0.3333 0.7462  3 Np 2.25
I1 0.0000 0.0000 0.8902  3 H 3.11, 3 Np 3.14
Np1 0.3333 0.6667 0.2523  3 H 2.25
Np2 0.3333 0.6667 0.7434  3 H 2.25

DFT total energy in eV/f.u.: -46.67


4.
Material: LuGeTe3Au
Method: DFT, GGA-PBE
State: optimized geometry

Lattice parameters (Å, degrees): 12.4047 4.1664 13.2351 90.00 90.00 90.00
Last column: nearest neighbours and their distance in Å.
Fractional coordinates of all 24 atoms:
Au1 0.2848 0.0000 0.2488  4 Te 2.79-2.81, 2 Ge 2.80
Au2 0.7848 0.5000 0.2512  4 Te 2.79-2.81, 2 Ge 2.80
Au3 0.2152 0.0000 0.7488  4 Te 2.79-2.81, 2 Ge 2.80
Au4 0.7152 0.5000 0.7512  4 Te 2.79-2.81, 2 Ge 2.80
Ge1 0.9316 0.0000 0.2173  2 Au 2.80
Ge2 0.4316 0.5000 0.2827  2 Au 2.80
Ge3 0.5684 0.0000 0.7173  2 Au 2.80
Ge4 0.0684 0.5000 0.7827  2 Au 2.80
Lu1 0.6779 0.0000 0.0677  6 Te 2.97-3.19
Lu2 0.1779 0.5000 0.4323  6 Te 2.97-3.19
Lu3 0.8221 0.0000 0.5677  6 Te 2.97-3.19
Lu4 0.3221 0.5000 0.9323  6 Te 2.97-3.19
Te1 0.8611 0.5000 0.0526  1 Au 2.79, 2 Lu 3.09
Te2 0.4209 0.0000 0.0799  1 Au 2.80, 2 Lu 3.11
Te3 0.1382 0.5000 0.2111  2 Au 2.81, 1 Lu 2.97
Te4 0.6382 0.0000 0.2889  2 Au 2.81, 1 Lu 2.97
Te5 0.9209 0.5000 0.4201  1 Au 2.80, 2 Lu 3.11
Te6 0.3611 0.0000 0.4474  1 Au 2.79, 2 Lu 3.09
Te7 0.6389 0.5000 0.5526  1 Au 2.79, 2 Lu 3.09
Te8 0.0791 0.0000 0.5799  1 Au 2.80, 2 Lu 3.11
Te9 0.3618 0.5000 0.7111  2 Au 2.81, 1 Lu 2.97
Te10 0.8618 0.0000 0.7889  2 Au 2.81, 1 Lu 2.97
Te11 0.5791 0.5000 0.9201  1 Au 2.80, 2 Lu 3.11
Te12 0.1389 0.0000 0.9474  1 Au 2.79, 2 Lu 3.09

Energy above the most stable polymorph in this dataset in eV per atom: 0.0704


no.,mass density (g/cm³),spin magnetization (μB per formula unit)
1,8.04,0.0
2,10.45,0.0
3,7.11,8.0
4,8.03,0.0